(1)
# PBE Y4MgAl, optimized geometry
data_Y4MgAl
_chemical_formula_sum 'Y4 Mg1 Al1'
_cell_length_a 3.609
_cell_length_b 5.680
_cell_length_c 8.782
_cell_angle_alpha 90.00
_cell_angle_beta 90.00
_cell_angle_gamma 90.00
_space_group_name_H-M_alt 'P m m m'
_space_group_IT_number 47
loop_
_space_group_symop_operation_xyz
'x,y,z'
'-x,-y,-z'
'-x,-y,z'
'x,y,-z'
'x,-y,-z'
'-x,y,z'
'-x,y,-z'
'x,-y,z'
loop_
_atom_site_label
_atom_site_type_symbol
_atom_site_fract_x
_atom_site_fract_y
_atom_site_fract_z
Y1 Y 0.000 0.000 0.190
Y2 Y 0.500 0.500 0.289
Mg1 Mg 0.500 0.000 0.500
Al1 Al 0.000 0.500 0.000
# energy above the lowest structure with this stoichiometry = 0 meV/atom

---

(2)
# PBE CeHfMg, optimized geometry
data_CeHfMg
_chemical_formula_sum 'Ce2 Hf2 Mg2'
_cell_length_a 3.102
_cell_length_b 3.102
_cell_length_c 15.104
_cell_angle_alpha 90.00
_cell_angle_beta 90.00
_cell_angle_gamma 90.00
_space_group_name_H-M_alt 'I 4 m m'
_space_group_IT_number 107
_space_group_name_Hall 'I 4 -2'
loop_
_atom_site_label
_atom_site_type_symbol
_atom_site_fract_x
_atom_site_fract_y
_atom_site_fract_z
Ce1 Ce 0.000 0.000 0.000
Hf1 Hf 0.000 0.000 0.661
Mg1 Mg 0.000 0.000 0.317
# energy above the lowest structure with this stoichiometry = 18 meV/atom